# Ag2GeSbSe4 (PBE, optimized geometry)
data_Ag2GeSbSe4
_chemical_formula_sum 'Ag4 Ge2 Sb2 Se8'
_cell_length_a 9.437
_cell_length_b 6.865
_cell_length_c 7.026
_cell_angle_alpha 90.00
_cell_angle_beta 90.00
_cell_angle_gamma 90.00
_space_group_name_H-M_alt 'P m n 21'
_space_group_IT_number 31
_space_group_name_Hall 'P 2ac -2'
loop_
_atom_site_label
_atom_site_type_symbol
_atom_site_fract_x
_atom_site_fract_y
_atom_site_fract_z
_atom_site_occupancy
Ag1 Ag 0.248 0.187 0.000 1
Ge1 Ge 0.000 0.330 0.505 1
Sb1 Sb 0.000 0.702 0.020 1
Se1 Se 0.000 0.334 0.136 1
Se2 Se 0.000 0.671 0.617 1
Se3 Se 0.227 0.185 0.623 1
# VASP energy = -0.13532 hartree per atom
# Magnetic moment = 0.000 μB per formula unit
# Volume = 455.15 Å³/cell



# SiAg2GeSb (PBE, optimized geometry)
data_SiAg2GeSb
_chemical_formula_sum 'Si1 Ag2 Ge1 Sb1'
_cell_length_a 5.151
_cell_length_b 5.151
_cell_length_c 5.373
_cell_angle_alpha 90.00
_cell_angle_beta 90.00
_cell_angle_gamma 90.00
_space_group_name_H-M_alt 'P 4/m m m'
_space_group_IT_number 123
_space_group_name_Hall '-P 4 2'
loop_
_atom_site_label
_atom_site_type_symbol
_atom_site_fract_x
_atom_site_fract_y
_atom_site_fract_z
_atom_site_occupancy
Si1 Si 0.000 0.000 0.000 1
Ag1 Ag 0.000 0.500 0.500 1
Ge1 Ge 0.500 0.500 0.000 1
Sb1 Sb 0.000 0.000 0.500 1
# VASP energy = -0.11033 hartree per atom
# Magnetic moment = 0.000 μB per formula unit
# Volume = 142.54 Å³/cell



# Sr2Ag4GeSb3 (PBE, optimized geometry)
data_Sr2Ag4GeSb3
_chemical_formula_sum 'Sr2 Ag4 Ge1 Sb3'
_cell_length_a 4.586
_cell_length_b 4.586
_cell_length_c 12.146
_cell_angle_alpha 90.00
_cell_angle_beta 90.00
_cell_angle_gamma 90.00
_space_group_name_H-M_alt 'P -4 m 2'
_space_group_IT_number 115
_space_group_name_Hall 'P -4 -2'
loop_
_atom_site_label
_atom_site_type_symbol
_atom_site_fract_x
_atom_site_fract_y
_atom_site_fract_z
_atom_site_occupancy
Sr1 Sr 0.000 0.500 0.244 1
Ag1 Ag 0.000 0.000 0.000 1
Ag2 Ag 0.000 0.500 0.636 1
Ag3 Ag 0.500 0.500 0.000 1
Ge1 Ge 0.000 0.000 0.500 1
Sb1 Sb 0.000 0.500 0.860 1
Sb2 Sb 0.500 0.500 0.500 1
# VASP energy = -0.13199 hartree per atom
# Magnetic moment = 0.000 μB per formula unit
# Volume = 255.39 Å³/cell



# AgGeSb2Te (PBE, optimized geometry)
data_AgGeSb2Te
_chemical_formula_sum 'Ag1 Ge1 Sb2 Te1'
_cell_length_a 5.372
_cell_length_b 5.372
_cell_length_c 5.381
_cell_angle_alpha 90.00
_cell_angle_beta 90.00
_cell_angle_gamma 90.00
_space_group_name_H-M_alt 'P 4/m m m'
_space_group_IT_number 123
_space_group_name_Hall '-P 4 2'
loop_
_atom_site_label
_atom_site_type_symbol
_atom_site_fract_x
_atom_site_fract_y
_atom_site_fract_z
_atom_site_occupancy
Ag1 Ag 0.000 0.000 0.000 1
Ge1 Ge 0.500 0.500 0.500 1
Sb1 Sb 0.000 0.500 0.500 1
Te1 Te 0.500 0.500 0.000 1
# VASP energy = -0.11280 hartree per atom
# Magnetic moment = 0.000 μB per formula unit
# Volume = 155.26 Å³/cell
# Distance to the lowest polymorph of the same formula = 0.0000 eV per atom



| no. | ΔE_f (raw) (eV per atom) |
| --- | --- |
| 1 | -0.13 |
| 2 | 0.97 |
| 3 | -0.42 |
| 4 | 0.70 |